Entry 1:
# Ni2WBr

Ni2WBr after structural relaxation (PBE, Alexandria).

- final energy (eV per atom) = -5.6114
- ΔE_f (raw) (eV/atom) = 0.936
- SG = No. 122
- magnetic moment (μB per cell) = 0.0

Cell lengths 6.122, 6.122, 5.852 Å; angles 58.46, 58.46, 90.00 degrees
Atoms (fractional coordinates):
Ni 0.634 0.125 0.250
Ni 0.116 0.625 0.250
Ni 0.375 0.366 0.750
Ni 0.875 0.884 0.750
Br 0.500 0.500 0.000
Br 0.250 0.750 0.500
W 0.000 0.000 0.000
W 0.750 0.250 0.500

***

Entry 2:
# YTa2Os2

YTa2Os2 after structural relaxation (PBE, Alexandria).

- ΔH_f (0 K) (eV per atom) = -0.078
- final energy (eV per atom) = -10.6039
- SG = No. 127
- magnetic moment (μB per cell) = 0.0

Cell lengths 7.833, 7.833, 3.055 Å; angles 90.00, 90.00, 90.00 degrees
Atoms (fractional coordinates):
Y 0.000 0.000 0.000
Y 0.500 0.500 0.000
Os 0.361 0.861 0.000
Os 0.861 0.639 0.000
Os 0.639 0.139 0.000
Os 0.139 0.361 0.000
Ta 0.150 0.650 0.500
Ta 0.650 0.850 0.500
Ta 0.850 0.350 0.500
Ta 0.350 0.150 0.500

***

Q: final energy of number 1 (Ni2WBr)?
A: -5.6114 eV per atom